Record 1
Nd8HoTm3: relaxed, PBE-GGA.

Uncorrected energy, eV/atom: -4.565
Crystal system: monoclinic
Calculated density, g cm⁻³: 7.52
Total moment, μB/atom: 0.000

Structure (extended XYZ):
```
12
Lattice="3.5182 -5.9877 0.0000 3.5182 5.9877 0.0000 -2.4518 0.0000 9.5665" Properties=species:S:1:pos:R:3 pbc="T T T"
Nd 1.4065 3.0175 6.3743
Nd 0.8761 0.0000 1.5673
Nd 3.1781 3.0175 3.1922
Nd 0.2055 0.0000 7.9624
Nd 4.3792 0.0000 1.6041
Nd 1.4065 -3.0175 6.3743
Nd 3.7085 0.0000 7.9992
Nd 3.1781 -3.0175 3.1922
Ho 2.2923 0.0000 4.7833
Tm -1.2259 0.0000 4.7833
Tm 1.7591 2.9938 0.0000
Tm 1.7591 -2.9938 0.0000
```

Record 2
NdHo4Tm5: relaxed, PBE-GGA.

Uncorrected energy, eV/atom: -4.235
Energy above the most stable polymorph in this dataset, eV/atom: 0.246
Crystal system: tetragonal
Calculated density, g cm⁻³: 8.54
Total moment, μB/atom: 0.000

Structure (extended XYZ):
```
10
Lattice="-5.0600 5.0600 3.1283 5.0600 -5.0600 3.1283 5.0600 5.0600 -3.1283" Properties=species:S:1:pos:R:3 pbc="T T T"
Nd 0.0000 0.0000 0.0000
Ho 5.5773 -1.5225 1.6911
Ho 4.5426 1.5225 1.6911
Ho -1.5225 4.5426 1.6911
Ho 1.5225 5.5773 1.6911
Tm 3.6112 2.6917 -1.4108
Tm 2.3682 -1.4488 1.7175
Tm 2.6917 6.5087 -1.4108
Tm 1.4488 2.3682 1.7175
Tm 0.0000 0.0000 3.3967
```

Record 3
Nd5Ho2Tm6: relaxed, PBE-GGA.

Uncorrected energy, eV/atom: -4.505
Crystal system: orthorhombic
Calculated density, g cm⁻³: 8.08
Total moment, μB/atom: 0.000

Structure (extended XYZ):
```
26
Lattice="11.5920 0.0000 0.0000 0.0000 20.4452 0.0000 0.0000 0.0000 3.5793" Properties=species:S:1:pos:R:3 pbc="T T T"
Nd 0.0000 0.0000 0.0000
Nd 0.9613 5.5709 0.0000
Nd 2.3028 11.2466 0.0000
Nd 3.4931 1.0240 0.0000
Nd 4.8347 15.7935 0.0000
Nd 5.7960 10.2226 0.0000
Nd 6.7572 4.6517 0.0000
Nd 8.0988 19.4212 0.0000
Nd 9.2891 9.1986 0.0000
Nd 10.6307 14.8743 0.0000
Ho 1.9897 14.5290 1.7897
Ho 3.8063 4.3064 1.7897
Ho 7.7857 16.1389 1.7897
Ho 9.6023 5.9162 1.7897
Tm 0.7177 8.5576 1.7897
Tm 0.9243 2.6879 1.7897
Tm 2.0388 17.6225 0.0000
Tm 3.7572 7.3998 0.0000
Tm 4.8717 12.9105 1.7897
Tm 5.0783 18.7802 1.7897
Tm 6.5137 1.6650 1.7897
Tm 6.7203 7.5347 1.7897
Tm 7.8348 13.0454 0.0000
Tm 9.5532 2.8228 0.0000
Tm 10.6676 17.7573 1.7897
Tm 10.8743 11.8876 1.7897
```

Record 4
Nd2Ho7Tm: relaxed, PBE-GGA.

Uncorrected energy, eV/atom: -4.584
Energy above the most stable polymorph in this dataset, eV/atom: 0.000
Crystal system: triclinic
Calculated density, g cm⁻³: 8.47
Total moment, μB/atom: 0.000

Structure (extended XYZ):
```
10
Lattice="6.1416 0.0000 0.0000 -1.0287 6.0609 0.0000 -2.0450 -3.4567 8.4944" Properties=species:S:1:pos:R:3 pbc="T T T"
Nd -0.0005 0.5144 1.7078
Nd 3.0684 2.0898 6.7866
Ho -1.0191 -0.6765 7.6387
Ho -0.0015 1.5590 5.0863
Ho 1.0272 3.8159 2.5563
Ho 3.0708 0.0000 0.0000
Ho 2.0407 -1.2117 5.9381
Ho 3.0694 1.0452 3.4082
Ho 4.0870 3.2807 0.8558
Tm -1.0225 -1.7284 4.2472
```

| no. | ΔE_f (eV/atom) |
| --- | --- |
| 1 | 0.113 |
| 2 | 0.309 |
| 3 | 0.097 |
| 4 | 0.021 |